[1]
# ScAl2Mo

Crystalline ScAl2Mo at its relaxed geometry (GGA-PBE, Alexandria).

Geometry as POSCAR:
```
ScAl2Mo
1.0
3.4215 0.0000 0.0000
0.0000 3.4215 0.0000
0.0000 0.0000 6.0145
Sc Al Mo
1 2 1
Cartesian
0.0000 0.0000 0.0000
0.0000 0.0000 3.2177
1.7108 1.7108 1.7832
1.7108 1.7108 4.5506
```

Output
Its distance to the lowest polymorph of the same formula is 243 meV/atom.


[2]
# ScAl2Mo

Crystalline ScAl2Mo at its relaxed geometry (GGA-PBE, Alexandria).

Geometry as POSCAR:
```
ScAl2Mo
1.0
3.8766 0.0000 0.0000
0.0000 4.0980 0.0000
0.0000 0.0000 4.2473
Sc Al Mo
1 2 1
Cartesian
0.0000 0.0000 0.0000
0.0000 2.0490 2.1236
1.9383 0.0000 2.1236
1.9383 2.0490 0.0000
```

Output
Its distance to the lowest polymorph of the same formula is 94 meV/atom.


[3]
# Sc2AlMo

Crystalline Sc2AlMo at its relaxed geometry (GGA-PBE, Alexandria).

Geometry as POSCAR:
```
Sc2AlMo
1.0
4.3312 0.0000 0.0000
0.0000 4.3312 0.0000
0.0000 0.0000 3.9814
Sc Al Mo
2 1 1
Cartesian
0.0000 2.1656 0.0000
2.1656 0.0000 0.0000
0.0000 0.0000 1.9907
2.1656 2.1656 1.9907
```


[4]
# ScAlMo3

Crystalline ScAlMo3 at its relaxed geometry (GGA-PBE, Alexandria).

Geometry as POSCAR:
```
ScAlMo3
1.0
4.6158 0.0000 0.0000
0.0000 4.6158 0.0000
0.0000 0.0000 4.6158
Sc Al Mo
1 1 3
Cartesian
0.0000 0.0000 0.0000
2.3079 2.3079 2.3079
0.0000 0.0000 2.3079
0.0000 2.3079 0.0000
2.3079 0.0000 0.0000
```

Output
Its distance to the lowest polymorph of the same formula is 649 meV/atom.


[5]
# ScAlMo

Crystalline ScAlMo at its relaxed geometry (GGA-PBE, Alexandria).

Geometry as POSCAR:
```
ScAlMo
1.0
2.8317 0.0000 0.0000
0.0000 2.8317 0.0000
0.0000 0.0000 13.1296
Sc Al Mo
2 2 2
Cartesian
0.0000 0.0000 0.0000
1.4158 1.4158 6.5648
0.0000 0.0000 8.8761
1.4158 1.4158 2.3113
0.0000 0.0000 4.2789
1.4158 1.4158 10.8437
```

Output
Its distance to the lowest polymorph of the same formula is 236 meV/atom.


[6]
# Sc2AlMo

Crystalline Sc2AlMo at its relaxed geometry (GGA-PBE, Alexandria).

Geometry as POSCAR:
```
Sc2AlMo
1.0
6.0151 0.0000 0.0000
0.0000 8.6297 0.0000
-0.0111 0.0000 2.8972
Sc Al Mo
4 2 2
Cartesian
1.5038 2.1574 0.0000
1.5038 6.4723 0.0000
4.5113 2.1574 0.0000
4.5113 6.4723 0.0000
-0.0056 0.0000 1.4486
3.0020 4.3149 1.4486
-0.0056 4.3149 1.4486
3.0020 0.0000 1.4486
```


[7]
# ScAl2Mo

Crystalline ScAl2Mo at its relaxed geometry (GGA-PBE, Alexandria).

Geometry as POSCAR:
```
ScAl2Mo
1.0
5.6614 0.0000 0.0000
0.0000 8.2927 0.0000
-0.0394 0.0000 2.8625
Sc Al Mo
2 4 2
Cartesian
0.0000 0.0000 0.0000
2.8307 4.1464 0.0000
1.3956 2.0732 1.4313
1.3956 6.2195 1.4313
4.2263 2.0732 1.4313
4.2263 6.2195 1.4313
0.0000 4.1464 0.0000
2.8307 0.0000 0.0000
```

Output
Its distance to the lowest polymorph of the same formula is 88 meV/atom.


[8]
# ScAl2Mo

Crystalline ScAl2Mo at its relaxed geometry (GGA-PBE, Alexandria).

Geometry as POSCAR:
```
ScAl2Mo
1.0
2.9129 0.0000 0.0000
0.0000 4.6114 0.0000
-0.4047 0.0000 5.0335
Sc Al Mo
1 2 1
Cartesian
0.0000 0.0000 0.0000
1.3830 0.0000 2.5268
1.5270 2.3057 0.9811
0.1425 2.3057 3.4243
```

Output
Its distance to the lowest polymorph of the same formula is 102 meV/atom.


[9]
# ScAlMo4

Crystalline ScAlMo4 at its relaxed geometry (GGA-PBE, Alexandria).

Geometry as POSCAR:
```
ScAlMo4
1.0
0.0000 3.7436 3.7436
3.7436 0.0000 3.7436
3.7436 3.7436 0.0000
Sc Al Mo
1 1 4
Cartesian
0.0000 0.0000 0.0000
5.6153 5.6153 5.6153
2.8117 2.8117 2.8117
4.6754 4.6754 2.8117
4.6754 2.8117 4.6754
2.8117 4.6754 4.6754
```


[10]
# Sc2AlMo

Crystalline Sc2AlMo at its relaxed geometry (GGA-PBE, Alexandria).

Geometry as POSCAR:
```
Sc2AlMo
1.0
2.9027 0.0000 0.0000
0.0000 2.9027 0.0000
0.0000 0.0000 8.9777
Sc Al Mo
2 1 1
Cartesian
0.0000 0.0000 2.2231
0.0000 0.0000 6.7546
1.4514 1.4514 4.4888
1.4514 1.4514 0.0000
```


[11]
# ScAlMo

Crystalline ScAlMo at its relaxed geometry (GGA-PBE, Alexandria).

Geometry as POSCAR:
```
ScAlMo
1.0
8.8547 0.0000 0.0000
0.0000 2.6742 4.5884
0.0000 -2.6742 4.5884
Sc Al Mo
4 4 4
Cartesian
1.6247 0.0000 0.0000
2.7888 0.0000 6.0728
6.0659 0.0000 6.0728
7.2300 0.0000 0.0000
2.2122 0.0000 2.9533
4.4273 -1.3618 3.8150
4.4273 1.3618 3.8150
6.6425 0.0000 2.9533
0.0000 0.0000 4.5740
0.0000 -1.2787 6.8478
0.0000 1.2787 6.8478
4.4273 0.0000 1.4769
```

Output
Its distance to the lowest polymorph of the same formula is 17 meV/atom.


[12]
# ScAlMo2

Crystalline ScAlMo2 at its relaxed geometry (GGA-PBE, Alexandria).

Geometry as POSCAR:
```
ScAlMo2
1.0
3.2712 0.0000 0.0000
0.0000 4.6227 0.0000
0.0000 0.0000 9.0579
Sc Al Mo
2 2 4
Cartesian
0.0000 0.0000 0.0000
1.6356 2.3114 0.0000
0.0000 2.3114 6.5775
1.6356 0.0000 6.5775
0.0000 0.0000 4.4425
0.0000 2.3114 2.3261
1.6356 0.0000 2.3261
1.6356 2.3114 4.4425
```


[13]
# Sc2AlMo

Crystalline Sc2AlMo at its relaxed geometry (GGA-PBE, Alexandria).

Geometry as POSCAR:
```
Sc2AlMo
1.0
6.6561 0.0000 0.0000
0.0000 6.6561 0.0000
0.0000 0.0000 6.6561
Sc Al Mo
8 4 4
Cartesian
0.0000 0.0000 0.0000
0.0000 3.3281 3.3281
1.6640 1.6640 1.6640
1.6640 4.9921 4.9921
3.3281 0.0000 3.3281
3.3281 3.3281 0.0000
4.9921 1.6640 4.9921
4.9921 4.9921 1.6640
0.0000 0.0000 3.3281
0.0000 3.3281 0.0000
3.3281 0.0000 0.0000
3.3281 3.3281 3.3281
1.6640 1.6640 4.9921
1.6640 4.9921 1.6640
4.9921 1.6640 1.6640
4.9921 4.9921 4.9921
```


[14]
# ScAl2Mo

Crystalline ScAl2Mo at its relaxed geometry (GGA-PBE, Alexandria).

Geometry as POSCAR:
```
ScAl2Mo
1.0
9.2203 0.0000 0.0000
0.0000 2.8697 0.0000
-0.6943 0.0000 5.3075
Sc Al Mo
2 4 2
Cartesian
0.0000 0.0000 0.0000
4.6102 1.4348 0.0000
1.7414 0.0000 3.8143
2.1745 1.4348 1.4931
6.3516 1.4348 3.8143
6.7847 0.0000 1.4931
-0.3471 1.4348 2.6537
4.2630 0.0000 2.6537
```

Output
Its distance to the lowest polymorph of the same formula is 163 meV/atom.


[15]
# ScAlMo2

Crystalline ScAlMo2 at its relaxed geometry (GGA-PBE, Alexandria).

Geometry as POSCAR:
```
ScAlMo2
1.0
3.0541 0.0000 0.0000
-1.5270 2.6449 0.0000
0.0000 0.0000 26.2783
Sc Al Mo
3 3 6
Cartesian
0.0000 0.0000 0.0000
0.0000 1.7633 17.5189
1.5270 0.8816 8.7594
0.0000 0.0000 20.0003
0.0000 1.7633 11.2409
1.5270 0.8816 2.4815
0.0000 0.0000 6.5399
0.0000 0.0000 13.3775
0.0000 1.7633 4.6181
0.0000 1.7633 24.0587
1.5270 0.8816 15.2993
1.5270 0.8816 22.1369
```


[16]
# Sc2AlMo

Crystalline Sc2AlMo at its relaxed geometry (GGA-PBE, Alexandria).

Geometry as POSCAR:
```
Sc2AlMo
1.0
3.0863 0.0000 0.0000
-1.5431 2.6728 0.0000
0.0000 0.0000 28.3981
Sc Al Mo
6 3 3
Cartesian
0.0000 0.0000 7.0066
0.0000 0.0000 21.3915
0.0000 1.7818 11.9255
0.0000 1.7818 25.9387
1.5431 0.8909 2.4594
1.5431 0.8909 16.4727
0.0000 0.0000 0.0000
0.0000 1.7818 18.9321
1.5431 0.8909 9.4660
0.0000 0.0000 14.1991
0.0000 1.7818 4.7330
1.5431 0.8909 23.6651
```


[17]
# ScAlMo

Crystalline ScAlMo at its relaxed geometry (GGA-PBE, Alexandria).

Geometry as POSCAR:
```
ScAlMo
1.0
6.2236 0.0000 0.0000
0.0000 6.2236 0.0000
0.0000 0.0000 6.2236
Sc Al Mo
4 4 4
Cartesian
0.0000 0.0000 0.0000
0.0000 3.1118 3.1118
3.1118 0.0000 3.1118
3.1118 3.1118 0.0000
1.5559 1.5559 4.6677
1.5559 4.6677 1.5559
4.6677 1.5559 1.5559
4.6677 4.6677 4.6677
0.0000 0.0000 3.1118
0.0000 3.1118 0.0000
3.1118 0.0000 0.0000
3.1118 3.1118 3.1118
```

Output
Its distance to the lowest polymorph of the same formula is 720 meV/atom.


[18]
# ScAl3Mo

Crystalline ScAl3Mo at its relaxed geometry (GGA-PBE, Alexandria).

Geometry as POSCAR:
```
ScAl3Mo
1.0
4.7566 0.0000 0.0000
0.0000 4.7566 0.0000
0.0000 0.0000 4.7566
Sc Al Mo
1 3 1
Cartesian
0.0000 0.0000 0.0000
0.0000 2.3783 2.3783
2.3783 0.0000 2.3783
2.3783 2.3783 0.0000
2.3783 2.3783 2.3783
```

Output
Its distance to the lowest polymorph of the same formula is 0 meV/atom.


[19]
# Sc2AlMo

Crystalline Sc2AlMo at its relaxed geometry (GGA-PBE, Alexandria).

Geometry as POSCAR:
```
Sc2AlMo
1.0
10.3251 0.0000 0.0000
0.0000 2.9840 0.0000
-1.1602 0.0000 4.9725
Sc Al Mo
4 2 2
Cartesian
0.0000 0.0000 0.0000
1.4309 0.0000 3.3897
5.1625 1.4920 0.0000
6.5934 1.4920 3.3897
4.2267 0.0000 2.3655
9.3893 1.4920 2.3655
2.3491 1.4920 1.0701
7.5116 0.0000 1.0701
```


[20]
# ScAlMo

Crystalline ScAlMo at its relaxed geometry (GGA-PBE, Alexandria).

Geometry as POSCAR:
```
ScAlMo
1.0
3.1240 0.0000 0.0000
0.0000 3.6864 0.0000
0.0000 0.0000 9.1954
Sc Al Mo
2 2 2
Cartesian
0.0000 0.0000 0.0000
1.5620 1.8432 4.5977
0.0000 0.0000 6.3202
1.5620 1.8432 1.7225
0.0000 0.0000 2.9869
1.5620 1.8432 7.5846
```

Output
Its distance to the lowest polymorph of the same formula is 191 meV/atom.


no.,Fermi-level density of states (states/eV/cell),ΔH_f (0 K) (meV per atom)
1,4.622,-81
2,2.384,-230
3,4.097,-126
4,8.468,1807
5,3.977,-87
6,6.933,-48
7,3.897,-236
8,2.241,-221
9,4.887,68
10,2.625,-85
11,9.026,-306
12,6.511,-30
13,18.452,-23
14,4.014,-161
15,8.092,74
16,13.137,60
17,14.817,396
18,3.426,242
19,7.553,-67
20,4.826,-132